Computed, not measured: HfSc2Ga after structural relaxation at the PBE level of DFT.

ΔE_f   -0.300 eV/atom
Spin magnetization   0.0 μB/cell
Total DFT energy (no corrections)   -26.84 eV per cell

Unit cell a=3.234 b=3.234 c=8.068 alpha=90.00 beta=90.00 gamma=90.00
Space group P4/mmm (No. 123)
One atom of each set of equivalent atoms:
Hf1 0.000 0.000 0.000 x1
Sc1 0.500 0.500 0.273 x2
Ga1 0.000 0.000 0.500 x1